Here is an optimized crystal structure of V2BF from Alexandria via LeMat-Bulk. Energies are from GGA+U.

abc: 6.0155 6.0155 6.0155
angles: 131.69 131.69 70.72
Element x y z (fractional)
V  0.1174  0.6250  0.9924
V  0.3750  0.3674  0.4924
V  0.6326  0.1250  0.0076
V  0.8750  0.8826  0.5076
B  0.0000  0.0000  0.0000
B  0.7500  0.2500  0.5000
F  0.2500  0.7500  0.5000
F  0.5000  0.5000  0.0000

**ρ**: 3.68 g/cm3
**Volume**: 119 Å³/cell
**Raw total energy**: -5.70 eV/atom
**Magnetic moment**: 8.037 μB per cell
**Excess energy over the best structure of this formula in the dataset**: 0.00 kcal/mol of atoms